# Sc2CoH8

Sc2CoH8 after structural relaxation (GGA-PBE, Alexandria).

The structure belongs to space group Immm (No. 71); the cell edges are 3.2131, 3.8955 and 12.0790 Å and the angles 90.00°, 90.00° and 90.00°. The asymmetric unit holds Sc at (0.0000, 0.0000, 0.1476), Co at (0.0000, 0.0000, 0.5000), H at (0.0000, 0.2376, 0.3933), H at (0.0000, 0.2808, 0.0000) and H at (0.0000, 0.5000, 0.2370).

As for the raw total energy: -4.537 eV per atom.

# PmCdNi

PmCdNi after structural relaxation (GGA-PBE, Alexandria).

The structure belongs to space group F-43m (No. 216); the cell edges are 6.5690, 6.5690 and 6.5690 Å and the angles 90.00°, 90.00° and 90.00°. The asymmetric unit holds Pm at (0.0000, 0.0000, 0.0000), Cd at (0.0000, 0.0000, 0.5000) and Ni at (0.2500, 0.2500, 0.7500).

The formation energy comes out at -0.203 eV/atom. The value obtained for the distance to the lowest polymorph of the same formula is 140 meV per atom.

# Sr2AlSe

Sr2AlSe after structural relaxation (GGA-PBE, Alexandria).

The structure belongs to space group I-42d (No. 122); the cell edges are 8.4346, 8.4346 and 8.1395 Å and the angles 90.00°, 90.00° and 90.00°. The asymmetric unit holds Sr at (0.2198, 0.7500, 0.1250), Al at (0.0000, 0.0000, 0.5000) and Se at (0.0000, 0.0000, 0.0000).

The value obtained for the distance to the lowest polymorph of the same formula is 241 meV per atom. The value obtained for the energy relative to the elements, uncorrected is -0.63 eV/atom.

# Ti3SbOs

Ti3SbOs after structural relaxation (GGA-PBE, Alexandria).

The structure belongs to space group Pm-3m (No. 221); the cell edges are 4.7531, 4.7531 and 4.7531 Å and the angles 90.00°, 90.00° and 90.00°. The asymmetric unit holds Ti at (0.0000, 0.0000, 0.5000), Sb at (0.5000, 0.5000, 0.5000) and Os at (0.0000, 0.0000, 0.0000).

The value obtained for the distance to the lowest polymorph of the same formula is 0 meV per atom. The value obtained for the energy relative to the elements, uncorrected is 0.21 eV/atom.

# Er2SnSe

Er2SnSe after structural relaxation (GGA-PBE, Alexandria).

The structure belongs to space group I4_1/amd (No. 141, origin choice 2); the cell edges are 5.9764, 5.9764 and 11.9115 Å and the angles 90.00°, 90.00° and 90.00°. The asymmetric unit holds Er at (0.0000, 0.2500, 0.1205), Sn at (0.0000, 0.2500, 0.3750) and Se at (0.0000, 0.2500, 0.8750).

The value obtained for the distance to the lowest polymorph of the same formula is 0 meV per atom. The value obtained for the energy relative to the elements, uncorrected is -1.21 eV/atom.

# AlCu4Si

AlCu4Si after structural relaxation (GGA-PBE, Alexandria).

The structure belongs to space group Pmma (No. 51); the cell edges are 8.0217, 2.6791 and 7.0790 Å and the angles 90.00°, 90.00° and 90.00°. The asymmetric unit holds Al at (0.2500, 0.0000, 0.0574), Cu at (0.0000, 0.0000, 0.5000), Cu at (0.0228, 0.5000, 0.8254), Cu at (0.2500, 0.5000, 0.3716) and Si at (0.2500, 0.0000, 0.6783).

The value obtained for the distance to the lowest polymorph of the same formula is 11 meV per atom. The value obtained for the energy relative to the elements, uncorrected is -0.08 eV/atom.

# HfTiNiP2

HfTiNiP2 after structural relaxation (GGA-PBE, Alexandria).

The structure belongs to space group P4/mmm (No. 123); the cell edges are 4.4266, 4.4266 and 4.3044 Å and the angles 90.00°, 90.00° and 90.00°. The asymmetric unit holds Hf at (0.0000, 0.0000, 0.0000), Ti at (0.5000, 0.5000, 0.0000), Ni at (0.5000, 0.5000, 0.5000) and P at (0.0000, 0.5000, 0.5000).

The formation energy comes out at 0.192 eV/atom.

# YOs2Au

YOs2Au after structural relaxation (GGA-PBE, Alexandria).

The structure belongs to space group Pmmm (No. 47); the cell edges are 3.1783, 4.7008 and 4.7422 Å and the angles 90.00°, 90.00° and 90.00°. The asymmetric unit holds Y at (0.0000, 0.0000, 0.0000), Os at (0.0000, 0.5000, 0.5000), Os at (0.5000, 0.5000, 0.0000) and Au at (0.5000, 0.0000, 0.5000).

The formation energy comes out at 0.327 eV/atom. The value obtained for the distance to the lowest polymorph of the same formula is 258 meV per atom.

# Tb2VGe4Pt3

Tb2VGe4Pt3 after structural relaxation (GGA-PBE, Alexandria).

The structure belongs to space group P-4m2 (No. 115); the cell edges are 4.1582, 4.1582 and 10.8460 Å and the angles 90.00°, 90.00° and 90.00°. The asymmetric unit holds Tb at (0.0000, 0.5000, 0.2475), V at (0.5000, 0.5000, 0.0000), Ge at (0.0000, 0.0000, 0.5000), Ge at (0.0000, 0.5000, 0.8646), Ge at (0.5000, 0.5000, 0.5000), Pt at (0.0000, 0.0000, 0.0000) and Pt at (0.0000, 0.5000, 0.6363).

The formation energy comes out at -0.801 eV/atom.

# Cd2CoSe

Cd2CoSe after structural relaxation (GGA-PBE, Alexandria).

The structure belongs to space group R3m (No. 160, hexagonal axes); the cell edges are 3.2550, 3.2550 and 25.9389 Å and the angles 90.00°, 90.00° and 120.00°. The asymmetric unit holds Cd at (0.0000, 0.0000, 0.0000), Cd at (0.0000, 0.0000, 0.2332), Co at (0.0000, 0.0000, 0.4880) and Se at (0.0000, 0.0000, 0.7721).

The value obtained for the energy relative to the elements, uncorrected is 0.00 eV/atom.

# ReSbI2N

ReSbI2N after structural relaxation (GGA-PBE, Alexandria).

The structure belongs to space group P4/mmm (No. 123); the cell edges are 5.6644, 5.6644 and 3.7877 Å and the angles 90.00°, 90.00° and 90.00°. The asymmetric unit holds Re at (0.0000, 0.0000, 0.0000), Sb at (0.5000, 0.5000, 0.5000), I at (0.0000, 0.5000, 0.0000) and N at (0.0000, 0.0000, 0.5000).

The value obtained for the distance to the lowest polymorph of the same formula is 0 meV per atom. The value obtained for the energy relative to the elements, uncorrected is 0.59 eV/atom.

# LaMoP2

LaMoP2 after structural relaxation (GGA-PBE, Alexandria).

The structure belongs to space group P4/mmm (No. 123); the cell edges are 3.2047, 3.2047 and 6.9427 Å and the angles 90.00°, 90.00° and 90.00°. The asymmetric unit holds La at (0.0000, 0.0000, 0.0000), Mo at (0.0000, 0.0000, 0.5000) and P at (0.5000, 0.5000, 0.3051).

The formation energy comes out at -0.607 eV/atom. The value obtained for the distance to the lowest polymorph of the same formula is 237 meV per atom.